Entry 1:
Computed, not measured: crystalline CePuTlIr at its relaxed geometry at the GGA-PBE level of DFT.

a b c (Å): 3.3973 3.3973 8.5414
angles (deg): 90.00 90.00 90.00
Last column: nearest neighbours and their distance in Å.
Element x y z (fractional)
Tl: 0.0000 0.0000 0.0737  4 Tl 3.40, 4 Pu 3.46, 4 Ce 3.51
Ir: 0.0000 0.0000 0.5722  4 Ce 2.96, 4 Pu 2.99
Pu: 0.5000 0.5000 0.3647  4 Ir 2.99
Ce: 0.5000 0.5000 0.7741  4 Ir 2.96

Output
VASP energy in eV per atom: -8.252

Entry 2:
Computed, not measured: crystalline Cs2CdCl2F2 at its relaxed geometry at the GGA-PBE level of DFT.

a b c (Å): 4.8444 4.8444 8.9727
angles (deg): 105.66 105.66 90.00
Last column: nearest neighbours and their distance in Å.
Element x y z (fractional)
Cs: 0.3730 0.3730 0.7460  4 F 3.21, 4 Cl 3.45
Cs: 0.6270 0.6270 0.2540  4 F 3.21, 4 Cl 3.45
F: 0.5000 0.0000 0.0000  2 Cd 2.42
F: 0.0000 0.5000 0.0000  2 Cd 2.42
Cl: 0.1531 0.1531 0.3062  1 Cd 2.54
Cl: 0.8469 0.8469 0.6938  1 Cd 2.54
Cd: 0.0000 0.0000 0.0000  4 F 2.42, 2 Cl 2.54

Output
Formation energy without anion corrections in kJ/mol of atoms: -202

Entry 3:
Computed, not measured: crystalline MgTePb2 at its relaxed geometry at the GGA-PBE level of DFT.

a b c (Å): 5.8613 5.8613 5.8613
angles (deg): 129.45 129.45 74.28
Last column: nearest neighbours and their distance in Å.
Element x y z (fractional)
Pb: 0.2500 0.7500 0.5000  4 Pb 3.42, 4 Te 3.42, 4 Mg 3.54
Pb: 0.0000 0.0000 0.0000  4 Pb 3.42, 4 Mg 3.42, 4 Te 3.54
Mg: 0.7500 0.2500 0.5000  4 Te 3.42, 8 Pb 3.42-3.54
Te: 0.5000 0.5000 0.0000  8 Pb 3.42-3.54, 4 Mg 3.42

Output
Energy above the most stable polymorph in this dataset in meV/atom: 154
Formation energy without anion corrections in kJ/mol of atoms: -4

Entry 4:
Computed, not measured: crystalline KCuS2 at its relaxed geometry at the GGA-PBE level of DFT.

a b c (Å): 4.8036 4.8036 4.8036
angles (deg): 60.00 60.00 60.00
Last column: nearest neighbours and their distance in Å.
Element x y z (fractional)
S: 0.2500 0.2500 0.2500  4 K 2.94, 4 Cu 2.94
S: 0.7500 0.7500 0.7500  4 K 2.94, 4 Cu 2.94
K: 0.0000 0.0000 0.0000  8 S 2.94
Cu: 0.5000 0.5000 0.5000  8 S 2.94

Output
Formation energy without anion corrections in kJ/mol of atoms: 22

Entry 5:
Computed, not measured: crystalline Cs3CdHg2F9 at its relaxed geometry at the GGA-PBE level of DFT.

a b c (Å): 6.5489 6.5489 8.0266
angles (deg): 90.00 90.00 120.00
Last column: nearest neighbours and their distance in Å.
Element x y z (fractional)
F: 0.0000 0.5000 0.0000  2 Hg 2.34
F: 0.1635 0.3270 0.3377  1 Cd 2.27, 1 Hg 2.34
F: 0.1635 0.8365 0.3377  1 Cd 2.27, 1 Hg 2.34
F: 0.8365 0.1635 0.6623  1 Cd 2.27, 1 Hg 2.34
F: 0.3270 0.1635 0.6623  1 Cd 2.27, 1 Hg 2.34
F: 0.8365 0.6730 0.6623  1 Cd 2.27, 1 Hg 2.34
F: 0.6730 0.8365 0.3377  1 Cd 2.27, 1 Hg 2.34
F: 0.5000 0.0000 0.0000  2 Hg 2.34
F: 0.5000 0.5000 0.0000  2 Hg 2.34
Cd: 0.0000 0.0000 0.5000  6 F 2.27
Hg: 0.3333 0.6667 0.1716  6 F 2.34
Hg: 0.6667 0.3333 0.8284  6 F 2.34
Cs: 0.0000 0.0000 0.0000  12 F 3.27-3.28
Cs: 0.6667 0.3333 0.3312  12 F 3.26-3.28
Cs: 0.3333 0.6667 0.6688  12 F 3.26-3.28

Output
Formation energy without anion corrections in kJ/mol of atoms: -208

Entry 6:
Computed, not measured: crystalline Mn2ReGeC at its relaxed geometry at the GGA-PBE level of DFT.

a b c (Å): 3.8287 3.8287 4.0894
angles (deg): 90.00 90.00 90.00
Last column: nearest neighbours and their distance in Å.
Element x y z (fractional)
C: 0.0000 0.0000 0.0000  4 Mn 1.91, 2 Re 2.04
Mn: 0.0000 0.5000 0.0000  2 C 1.91
Mn: 0.5000 0.0000 0.0000  2 C 1.91
Ge: 0.5000 0.5000 0.5000  4 Re 2.71, 8 Mn 2.80
Re: 0.0000 0.0000 0.5000  2 C 2.04

Output
VASP energy in eV per atom: -8.825

Entry 7:
Computed, not measured: crystalline LiErGa3 at its relaxed geometry at the GGA-PBE level of DFT.

a b c (Å): 4.3306 3.4078 13.2528
angles (deg): 97.39 90.00 90.00
Last column: nearest neighbours and their distance in Å.
Element x y z (fractional)
Li: 0.7500 0.2148 0.4295  7 Ga 2.74-2.89
Li: 0.2500 0.7852 0.5705  7 Ga 2.74-2.89
Er: 0.2500 0.0743 0.1485  12 Ga 3.03-3.28
Er: 0.7500 0.9257 0.8515  12 Ga 3.03-3.28
Ga: 0.2500 0.3731 0.7462  3 Ga 2.59-2.66, 2 Li 2.87
Ga: 0.7500 0.5259 0.0518  3 Ga 2.56-2.66
Ga: 0.7500 0.3189 0.6378  2 Ga 2.59, 5 Li 2.74-2.89
Ga: 0.2500 0.4741 0.9482  3 Ga 2.56-2.66
Ga: 0.2500 0.6811 0.3622  2 Ga 2.59, 5 Li 2.74-2.89
Ga: 0.7500 0.6269 0.2538  3 Ga 2.59-2.66, 2 Li 2.87

Output
VASP energy in eV per atom: -3.553

Entry 8:
Computed, not measured: crystalline LaPO at its relaxed geometry at the GGA-PBE level of DFT.

a b c (Å): 4.1044 4.1192 7.1484
angles (deg): 90.00 73.30 90.00
Last column: nearest neighbours and their distance in Å.
Element x y z (fractional)
La: 0.9024 0.1335 0.9030  4 O 2.38-2.40
La: 0.2248 0.6335 0.2578  4 O 2.38-2.40
P: 0.5301 0.6335 0.6468  2 P 2.25
P: 0.5971 0.1335 0.5140  2 P 2.25
O: 0.3148 0.1335 0.0780  4 La 2.38-2.40
O: 0.8123 0.6335 0.0828  4 La 2.38-2.40

Output
Formation energy without anion corrections in kJ/mol of atoms: -225